## LiBeCoIr (GGA-PBE)

Data for crystalline LiBeCoIr at its relaxed geometry.

Computed properties:
uncorrected energy: -5.561 eV per atom
symmetry: F-43m
E_form: -0.1590 eV/atom

extended XYZ file:
```
4
Lattice="0.000 2.835 2.835 2.835 0.000 2.835 2.835 2.835 0.000" Properties=species:S:1:pos:R:3 pbc="T T T"
Li 0.000 0.000 0.000
Be 1.418 1.418 1.418
Co 4.253 4.253 4.253
Ir 2.835 2.835 2.835
```